# 1
{"formula": "ZnFeSe", "functional": "GGA-PBE", "state": "optimized geometry", "lattice": [[4.189, 0.000, 0.000], [2.095, 3.628, 0.000], [2.095, 1.209, 3.420]], "species": ["Fe", "Se", "Zn"], "frac_coords": [[0.500, 0.500, 0.500], [0.250, 0.250, 0.250], [0.000, 0.000, 0.000]], "final_energy_ev_per_atom": -4.070, "de_polymorph_ev_per_fu": 0.86, "raw_formation_energy_ev_per_atom": 0.337}

***

# 2
{"formula": "PmScRu", "functional": "GGA-PBE", "state": "optimized geometry", "lattice": [[-3.703, -1.373, -0.635], [-0.029, -1.756, 3.965], [-1.252, 7.643, 3.375]], "species": ["Pm", "Pm", "Sc", "Sc", "Ru", "Ru"], "frac_coords": [[0.416, 0.250, 0.331], [0.584, 0.750, 0.669], [0.251, 0.750, 0.001], [0.749, 0.250, 0.999], [0.859, 0.750, 0.219], [0.141, 0.250, 0.781]], "final_energy_ev_per_atom": -6.995, "de_polymorph_ev_per_fu": 0.00, "delta_e_f_ev_per_fu": -0.626}

***

# 3
{"formula": "FeNiMo", "functional": "GGA-PBE", "state": "optimized geometry", "lattice": [[5.254, 0.000, 0.054], [0.000, 3.641, 0.000], [-2.743, 0.000, 7.818]], "species": ["Ni", "Ni", "Ni", "Ni", "Mo", "Mo", "Mo", "Mo", "Fe", "Fe", "Fe", "Fe"], "frac_coords": [[0.835, 0.000, 0.677], [0.835, 0.500, 0.177], [0.504, 0.000, 0.011], [0.504, 0.500, 0.511], [0.018, 0.000, 0.016], [0.018, 0.500, 0.516], [0.655, 0.000, 0.339], [0.655, 0.500, 0.839], [0.173, 0.000, 0.345], [0.173, 0.500, 0.845], [0.335, 0.000, 0.677], [0.335, 0.500, 0.177]], "final_energy_ev_per_atom": -8.310, "de_polymorph_ev_per_fu": 0.06, "delta_e_f_ev_per_fu": 0.146}

***

# 4
{"formula": "KGaCo2Si", "functional": "GGA-PBE", "state": "optimized geometry", "lattice": [[4.584, 0.000, 0.000], [0.000, 5.284, 0.000], [0.000, 0.000, 4.584]], "species": ["K", "Co", "Co", "Si", "Ga"], "frac_coords": [[0.000, 0.000, 0.000], [0.000, 0.000, 0.500], [0.500, 0.000, 0.000], [0.500, 0.500, 0.500], [0.000, 0.500, 0.000]], "final_energy_ev_per_atom": -2.523, "raw_formation_energy_ev_per_atom": 2.229}

***

# 5
{"formula": "SrLa2Tm", "functional": "GGA-PBE", "state": "optimized geometry", "lattice": [[6.012, 0.000, 0.000], [3.006, 5.207, 0.000], [3.006, 1.736, 4.909]], "species": ["Sr", "Tm", "La", "La"], "frac_coords": [[0.500, 0.500, 0.500], [0.000, 0.000, 0.000], [0.250, 0.250, 0.250], [0.750, 0.750, 0.750]], "final_energy_ev_per_atom": -3.817, "de_polymorph_ev_per_fu": 0.35, "delta_e_f_ev_per_fu": 0.741}

***

# 6
{"formula": "Na2MnSb2", "functional": "GGA-PBE", "state": "optimized geometry", "lattice": [[7.188, 0.000, 0.000], [0.000, 7.188, 0.000], [0.000, 0.000, 5.146]], "species": ["Sb", "Sb", "Sb", "Sb", "Mn", "Mn", "Na", "Na", "Na", "Na"], "frac_coords": [[0.353, 0.853, 0.000], [0.853, 0.647, 0.000], [0.647, 0.147, 0.000], [0.147, 0.353, 0.000], [0.000, 0.000, 0.000], [0.500, 0.500, 0.000], [0.166, 0.666, 0.500], [0.666, 0.834, 0.500], [0.834, 0.334, 0.500], [0.334, 0.166, 0.500]], "final_energy_ev_per_atom": -4.157, "de_polymorph_ev_per_fu": 0.00, "raw_formation_energy_ev_per_atom": -0.147}

***

# 7
{"formula": "CaMnP2", "functional": "GGA-PBE", "state": "optimized geometry", "lattice": [[-2.932, -0.707, -1.905], [-1.425, -1.119, 2.608], [-2.680, 5.715, 2.005]], "species": ["Ca", "Mn", "P", "P"], "frac_coords": [[0.500, 0.250, 0.250], [0.500, 0.750, 0.750], [0.000, 0.869, 0.974], [0.000, 0.631, 0.526]], "final_energy_ev_per_atom": -5.861, "de_polymorph_ev_per_fu": 1.57, "delta_e_f_ev_per_fu": -1.451}

***

# 8
{"formula": "Ta2Te2Cl", "functional": "GGA-PBE", "state": "optimized geometry", "lattice": [[-1.236, -7.764, -2.181], [2.089, -2.439, 7.500], [-3.318, 0.246, 1.004]], "species": ["Cl", "Cl", "Te", "Te", "Te", "Te", "Ta", "Ta", "Ta", "Ta"], "frac_coords": [[0.000, 0.000, 0.000], [0.500, 0.500, 0.000], [0.157, 0.657, 0.500], [0.657, 0.843, 0.500], [0.843, 0.343, 0.500], [0.343, 0.157, 0.500], [0.385, 0.885, 0.000], [0.885, 0.615, 0.000], [0.615, 0.115, 0.000], [0.115, 0.385, 0.000]], "final_energy_ev_per_atom": -6.269, "de_polymorph_ev_per_fu": 0.00, "raw_formation_energy_ev_per_atom": 0.098}

***

# 9
{"formula": "Np2TeSe", "functional": "GGA-PBE", "state": "optimized geometry", "lattice": [[-1.549, 2.226, -3.263], [-4.134, 0.940, -0.155], [-0.681, 6.963, 2.315]], "species": ["Np", "Np", "Te", "Se"], "frac_coords": [[0.742, 0.742, 0.775], [0.258, 0.258, 0.225], [0.500, 0.500, 0.500], [0.000, 0.000, 0.000]], "final_energy_ev_per_atom": -8.929, "de_polymorph_ev_per_fu": 0.00, "raw_formation_energy_ev_per_atom": -0.802}

***

# 10
{"formula": "Pm4Ho10Th", "functional": "GGA-PBE", "state": "optimized geometry", "lattice": [[-7.312, -2.753, 1.962], [-1.406, -1.958, 8.547], [-6.100, 6.039, 2.278]], "species": ["Pm", "Pm", "Pm", "Pm", "Ho", "Ho", "Ho", "Ho", "Ho", "Ho", "Ho", "Ho", "Ho", "Ho", "Th"], "frac_coords": [[0.225, 0.000, 0.550], [0.775, 0.450, 0.000], [0.225, 0.550, 0.000], [0.775, 0.000, 0.450], [0.250, 0.500, 0.500], [0.704, 0.207, 0.793], [0.089, 0.207, 0.207], [0.503, 0.793, 0.793], [0.704, 0.793, 0.207], [0.296, 0.793, 0.207], [0.750, 0.500, 0.500], [0.296, 0.207, 0.793], [0.497, 0.207, 0.207], [0.911, 0.793, 0.793], [0.000, 0.000, 0.000]], "final_energy_ev_per_atom": -4.563, "delta_e_f_ev_per_fu": 3.752}

***

# 11
{"formula": "Th2GaB2Ru5", "functional": "GGA-PBE", "state": "optimized geometry", "lattice": [[-1.804, 1.465, -2.216], [-3.382, -8.640, -2.959], [-7.313, 0.672, 6.397]], "species": ["Th", "Th", "Th", "Th", "Ga", "Ga", "B", "B", "B", "B", "Ru", "Ru", "Ru", "Ru", "Ru", "Ru", "Ru", "Ru", "Ru", "Ru"], "frac_coords": [[0.000, 0.677, 0.177], [0.000, 0.323, 0.823], [0.000, 0.177, 0.323], [0.000, 0.823, 0.677], [0.000, 0.000, 0.000], [0.000, 0.500, 0.500], [0.000, 0.122, 0.622], [0.000, 0.878, 0.378], [0.000, 0.622, 0.878], [0.000, 0.378, 0.122], [0.500, 0.220, 0.070], [0.500, 0.780, 0.930], [0.500, 0.070, 0.780], [0.500, 0.720, 0.430], [0.500, 0.930, 0.220], [0.500, 0.280, 0.570], [0.500, 0.570, 0.720], [0.500, 0.430, 0.280], [0.500, 0.500, 0.000], [0.500, 0.000, 0.500]], "final_energy_ev_per_atom": -8.274, "delta_e_f_ev_per_fu": -5.144}

***

# 12
{"formula": "Cd2GePd2", "functional": "GGA-PBE", "state": "optimized geometry", "lattice": [[6.573, 0.000, 0.000], [0.000, 6.573, 0.000], [0.000, 0.000, 4.293]], "species": ["Ge", "Ge", "Pd", "Pd", "Pd", "Pd", "Cd", "Cd", "Cd", "Cd"], "frac_coords": [[0.000, 0.000, 0.000], [0.500, 0.500, 0.000], [0.346, 0.846, 0.000], [0.846, 0.654, 0.000], [0.654, 0.154, 0.000], [0.154, 0.346, 0.000], [0.156, 0.656, 0.500], [0.656, 0.844, 0.500], [0.844, 0.344, 0.500], [0.344, 0.156, 0.500]], "final_energy_ev_per_atom": -3.662, "de_polymorph_ev_per_fu": 0.00, "delta_e_f_ev_per_fu": -1.479}

***

Number 1: total moment 2.151 Bohr magnetons per cell. Number 2: total moment 0.000 Bohr magnetons per cell. Number 3: total moment 5.934 Bohr magnetons per cell. Number 4: total moment 3.089 Bohr magnetons per cell. Number 5: total moment 0.000 Bohr magnetons per cell. Number 6: total moment 8.052 Bohr magnetons per cell. Number 7: total moment 3.307 Bohr magnetons per cell. Number 8: total moment 0.000 Bohr magnetons per cell. Number 9: total moment 9.069 Bohr magnetons per cell. Number 10: total moment 0.000 Bohr magnetons per cell. Number 11: total moment 0.000 Bohr magnetons per cell. Number 12: total moment 0.000 Bohr magnetons per cell.